Entry 1:
Computed, not measured: La2Si3AgPt4 after structural relaxation at the GGA-PBE level of DFT.

Energy relative to the elements, uncorrected   -0.95 eV per atom
DOS(E_F)   0.485 states/eV per atom

Cell: 4.347 4.347 10.186 Å, 90.00 90.00 90.00°
Fractional coordinates of all 10 atoms:
La  0.500  0.000  0.254
La  0.000  0.500  0.746
Si  0.000  0.000  0.500
Si  0.500  0.000  0.879
Si  0.000  0.500  0.121
Ag  0.500  0.500  0.500
Pt  0.500  0.500  0.000
Pt  0.000  0.000  0.000
Pt  0.500  0.000  0.648
Pt  0.000  0.500  0.352

=====

Entry 2:
Computed, not measured: Sr2PuZrN4 after structural relaxation at the GGA-PBE level of DFT.

Energy relative to the elements, uncorrected   -1.17 eV per atom
DOS(E_F)   0.948 states/eV per atom

Cell: 3.485 5.995 6.266 Å, 108.42 90.00 90.00°
Fractional coordinates of all 8 atoms:
Sr  0.500  0.000  0.500
Sr  0.000  0.500  0.500
Pu  0.500  0.500  0.000
Zr  0.000  0.000  0.000
N  0.500  0.233  0.201
N  0.500  0.767  0.799
N  0.000  0.262  0.803
N  0.000  0.738  0.197

=====

Entry 3:
Computed, not measured: LiY2Sc after structural relaxation at the GGA-PBE level of DFT.

Formation enthalpy at 0 K   0.18 eV per atom
Energy above the lowest structure with this stoichiometry   40 kJ/mol of formula units
DOS(E_F)   1.607 states/eV per atom

Cell: 3.458 4.840 6.619 Å, 90.00 90.00 90.00°
Fractional coordinates of all 4 atoms:
Li  0.000  0.000  0.503
Sc  0.500  0.500  0.755
Y  0.000  0.000  0.979
Y  0.500  0.500  0.262

=====

Entry 4:
Computed, not measured: Ba2CaI after structural relaxation at the GGA-PBE level of DFT.

Energy relative to the elements, uncorrected   -0.37 eV per atom
Energy above the lowest structure with this stoichiometry   83 kJ/mol of formula units
DOS(E_F)   2.102 states/eV per atom

Cell: 10.402 10.402 8.393 Å, 51.70 51.70 90.00°
Fractional coordinates of all 8 atoms:
I  0.000  0.000  0.000
I  0.750  0.250  0.500
Ca  0.500  0.500  0.000
Ca  0.250  0.750  0.500
Ba  0.680  0.125  0.250
Ba  0.070  0.625  0.250
Ba  0.375  0.320  0.750
Ba  0.875  0.930  0.750